UZnNi: relaxed, PBE.

abc: 4.4513 4.4513 5.7908
angles: 90.00 90.00 120.00
Space group P6_3mc (No. 186)
One atom of each set of equivalent atoms:
U  0.0000  0.0000  0.0000 (multiplicity 2)
Zn  0.3333  0.6667  0.2507 (multiplicity 2)
Ni  0.3333  0.6667  0.7479 (multiplicity 2)

- mass density (g cm⁻³) = 12.103
- total energy (eV/f.u.) = -18.162

***

ZrUNi: relaxed, PBE.

abc: 6.324 6.324 6.324
angles: 90.00 90.00 90.00
Space group F-43m (No. 216)
One atom of each set of equivalent atoms:
Zr  0.000  0.000  0.000 (multiplicity 4)
U  0.000  0.000  0.500 (multiplicity 4)
Ni  0.250  0.250  0.250 (multiplicity 4)

- mass density (g cm⁻³) = 10.189
- total energy (eV/f.u.) = -24.309
- ΔE to the lowest computed polymorph (meV/atom) = 0

***

ZrUNi: relaxed, PBE.

abc: 6.271 6.271 6.271
angles: 90.00 90.00 90.00
Space group F-43m (No. 216)
One atom of each set of equivalent atoms:
Zr  0.000  0.000  0.000 (multiplicity 4)
U  0.250  0.250  0.750 (multiplicity 4)
Ni  0.000  0.000  0.500 (multiplicity 4)

- mass density (g cm⁻³) = 10.450
- total energy (eV/f.u.) = -23.005
- ΔE to the lowest computed polymorph (meV/atom) = 435

***

Ni14W: relaxed, PBE.

abc: 8.660 8.660 4.550
angles: 90.00 90.00 90.00
Space group P4_2/mnm (No. 136)
One atom of each set of equivalent atoms:
Ni  0.039  0.368  0.000 (multiplicity 8)
Ni  0.066  0.268  0.500 (multiplicity 8)
Ni  0.101  0.101  0.000 (multiplicity 4)
Ni  0.184  0.816  0.249 (multiplicity 8)
W  0.000  0.000  0.500 (multiplicity 2)

- mass density (g cm⁻³) = 9.786
- total energy (eV/f.u.) = -89.651

***

Ni9W4: relaxed, PBE.

abc: 4.6696 4.6696 25.5867
angles: 90.00 90.00 120.00
Space group R-3m (No. 166, hexagonal axes)
One atom of each set of equivalent atoms:
Ni  0.0000  0.0000  0.0000 (multiplicity 3)
Ni  0.0000  0.0000  0.1672 (multiplicity 6)
Ni  0.0017  0.5008  0.4114 (multiplicity 18)
W  0.0000  0.0000  0.3464 (multiplicity 6)
W  0.0000  0.0000  0.4518 (multiplicity 6)

- mass density (g cm⁻³) = 13.028
- total energy (eV/f.u.) = -101.443
- ΔE to the lowest computed polymorph (meV/atom) = 61

***

NiW5: relaxed, PBE.

abc: 5.1870 5.1870 17.0246
angles: 90.00 90.00 120.00
Space group P6_3/mmc (No. 194)
One atom of each set of equivalent atoms:
Ni  0.0000  0.0000  0.0943 (multiplicity 4)
W  0.0000  0.5000  0.0000 (multiplicity 6)
W  0.1627  0.3254  0.2500 (multiplicity 6)
W  0.3333  0.6667  0.1247 (multiplicity 4)
W  0.3333  0.6667  0.6535 (multiplicity 4)

- mass density (g cm⁻³) = 16.375
- total energy (eV/f.u.) = -66.858
- ΔE to the lowest computed polymorph (meV/atom) = 284